{
  "formula": "UIn3Cl6",
  "functional": "PBE-GGA",
  "state": "optimized geometry",
  "cell": [[6.782, -3.912, 0.000], [6.782, 3.912, 0.000], [-4.535, 0.000, 7.644]],
  "species": ["U", "In", "In", "In", "Cl", "Cl", "Cl", "Cl", "Cl", "Cl"],
  "fractional_positions": [[0.000, 0.000, 0.000], [0.311, 0.311, 0.929], [0.500, 0.500, 0.500], [0.689, 0.689, 0.071], [0.236, 0.236, 0.193], [0.237, 0.725, 0.196], [0.275, 0.763, 0.804], [0.725, 0.237, 0.196], [0.763, 0.275, 0.804], [0.764, 0.764, 0.807]],
  "final_energy_ev_per_atom": -4.205,
  "formation_energy_uncorrected_ev_per_atom": -1.147,
  "vol_a3_per_cell": 406,
  "space_group": "C2/m"
}


{
  "formula": "Pu2Ge3AsPt4",
  "functional": "PBE-GGA",
  "state": "optimized geometry",
  "cell": [[4.430, 0.000, 0.000], [0.000, 4.430, 0.000], [0.000, 0.000, 9.851]],
  "species": ["Pu", "Pu", "Ge", "Ge", "Ge", "As", "Pt", "Pt", "Pt", "Pt"],
  "fractional_positions": [[0.000, 0.500, 0.246], [0.500, 0.000, 0.754], [0.000, 0.000, 0.000], [0.000, 0.500, 0.628], [0.500, 0.000, 0.372], [0.500, 0.500, 0.000], [0.000, 0.000, 0.500], [0.000, 0.500, 0.875], [0.500, 0.000, 0.125], [0.500, 0.500, 0.500]],
  "e_form_ev_per_fu": -6.7,
  "final_energy_ev_per_atom": -7.807,
  "vol_a3_per_cell": 193,
  "space_group": "P-4m2"
}


{
  "formula": "Cr2NiMo",
  "functional": "PBE-GGA",
  "state": "optimized geometry",
  "cell": [[2.530, 0.000, 0.000], [0.000, 4.122, 0.000], [-0.932, 0.000, 4.838]],
  "species": ["Cr", "Cr", "Ni", "Mo"],
  "fractional_positions": [[0.000, 0.000, 0.000], [0.239, 0.500, 0.794], [0.351, 0.000, 0.532], [0.734, 0.500, 0.283]],
  "e_form_ev_per_fu": 0.6,
  "final_energy_ev_per_atom": -8.822,
  "vol_a3_per_cell": 50,
  "space_group": "Pm"
}